Entry i
Material: Pm2Dy5Y4
Method: DFT, PBE-GGA
State: relaxed

DOS(E_F)	16.7	states/eV/f.u.
spin magnetization	0.000	Bohr magnetons per cell

Cell lengths 3.5130, 9.0617, 12.6356 Å; angles 111.01, 97.99, 90.00 degrees
Last column: nearest neighbours and their distance in Å.
Fractional positions:
Y: 0.0000 0.6906 0.0000  4 Dy 3.31-3.49, 7 Y 3.36-3.51
Y: 0.4018 0.4018 0.8036  1 Pm 3.14, 6 Y 3.36-3.51, 4 Dy 3.44
Y: 0.0000 0.3094 0.0000  4 Dy 3.31-3.49, 7 Y 3.36-3.51
Y: 0.5982 0.5982 0.1964  1 Pm 3.14, 6 Y 3.36-3.51, 4 Dy 3.44
Dy: 0.8571 0.6621 0.7142  1 Pm 3.40, 3 Y 3.44-3.49, 3 Dy 3.51-3.53
Dy: 0.5000 0.0000 0.0000  4 Y 3.31, 2 Dy 3.51
Dy: 0.1429 0.9479 0.2858  1 Pm 3.40, 3 Y 3.44-3.49, 3 Dy 3.51-3.53
Dy: 0.8571 0.0521 0.7142  1 Pm 3.40, 3 Y 3.44-3.49, 3 Dy 3.51-3.53
Dy: 0.1429 0.3379 0.2858  1 Pm 3.40, 3 Y 3.44-3.49, 3 Dy 3.51-3.53
Pm: 0.7327 0.7327 0.4655  1 Y 3.14, 2 Dy 3.40, 2 Pm 3.51
Pm: 0.2673 0.2673 0.5345  1 Y 3.14, 2 Dy 3.40, 2 Pm 3.51

=====

Entry ii
Material: Pm2Dy5Y4
Method: DFT, PBE-GGA
State: relaxed

DOS(E_F)	18.8	states/eV/f.u.
spin magnetization	0.000	Bohr magnetons per cell

Cell lengths 3.5499, 8.8076, 11.7180 Å; angles 95.17, 90.01, 101.63 degrees
Last column: nearest neighbours and their distance in Å.
Fractional positions:
Pm: 0.3649 0.7289 0.1868  2 Dy 3.19-3.35, 3 Y 3.36-3.56, 2 Pm 3.55
Pm: 0.6351 0.2711 0.8132  2 Dy 3.19-3.35, 3 Y 3.36-3.56, 2 Pm 3.55
Y: 0.7320 0.4631 0.3544  5 Dy 3.42-3.78, 4 Y 3.55-3.77, 2 Pm 3.62
Y: 0.8215 0.6433 0.9258  3 Pm 3.36-3.56, 4 Y 3.55-3.62, 3 Dy 3.57-3.59
Y: 0.2680 0.5369 0.6456  5 Dy 3.42-3.78, 4 Y 3.55-3.77, 2 Pm 3.62
Y: 0.1785 0.3567 0.0742  3 Pm 3.36-3.56, 4 Y 3.55-3.62, 3 Dy 3.57-3.59
Dy: 0.5915 0.1839 0.5429  1 Pm 3.19, 4 Dy 3.24-3.57, 1 Y 3.42
Dy: 0.9603 0.9205 0.7172  8 Dy 3.55-3.77, 3 Y 3.57-3.78, 2 Pm 3.60
Dy: 0.4085 0.8161 0.4571  1 Pm 3.19, 4 Dy 3.24-3.57, 1 Y 3.42
Dy: 0.5000 0.0000 0.0000  2 Pm 3.35, 2 Dy 3.55, 4 Y 3.59
Dy: 0.0397 0.0795 0.2828  8 Dy 3.55-3.77, 3 Y 3.57-3.78, 2 Pm 3.60

=====

Which structure is most stable, and how do the rest compare? From most to least stable: entry ii, entry i.